A plane-wave DFT calculation with PBE was carried out for a geometry-optimized Tb4DyY2Mg structure.

Values from the calculation:
Formation enthalpy at 0 K: 0.020 eV per atom
M_tot: 0.000 μB/f.u.
Calculated volume: 30.95 A^3/atom
Crystal system: tetragonal

Cell lengths 4.967, 4.967, 10.034 Å; angles 90.00, 90.00, 90.00 degrees
Space group P4/mmm (No. 123)
Symmetry-distinct sites (fractional):
Tb 0.000 0.500 0.248
Dy 0.000 0.000 0.500
Y 0.000 0.000 0.000
Y 0.500 0.500 0.500
Mg 0.500 0.500 0.000